DFT (GGA-PBE) results for crystalline SrCrAs2 at its relaxed geometry.

Summary:
For the formation energy, the calculation gives -0.45 eV/f.u. As for the space group: P4/mmm, No. 123. Its energy above the most stable polymorph in this dataset is 429 meV per atom.

a b c (Å): 4.7137 4.7137 4.0347
angles (deg): 90.00 90.00 90.00
Positions (direct):
Sr 0.0000 0.0000 0.0000
Cr 0.5000 0.5000 0.0000
As 0.0000 0.5000 0.5000
As 0.5000 0.0000 0.5000


DFT (GGA-PBE) results for crystalline Sr2CrAs at its relaxed geometry.

Summary:
For the formation energy, the calculation gives -1.17 eV/f.u. As for the space group: Amm2, No. 38.

a b c (Å): 4.5002 6.3686 6.3686
angles (deg): 42.19 90.00 90.00
Positions (direct):
Sr 0.0000 0.0000 0.0000
Sr 0.5000 0.2832 0.2832
Cr 0.5000 0.5862 0.5862
As 0.0000 0.7096 0.7096


DFT (GGA-PBE) results for crystalline SrCr3As at its relaxed geometry.

Summary:
For the formation energy, the calculation gives 3.22 eV/f.u. As for the space group: Pm-3m, No. 221. Its energy above the most stable polymorph in this dataset is 0 meV per atom.

a b c (Å): 4.9797 4.9797 4.9797
angles (deg): 90.00 90.00 90.00
Positions (direct):
Sr 0.0000 0.0000 0.0000
Cr 0.0000 0.5000 0.5000
Cr 0.5000 0.0000 0.5000
Cr 0.5000 0.5000 0.0000
As 0.5000 0.5000 0.5000